No. 1
! Tb3Pr5In PBE relaxed; values from VASP
&SYSTEM
  ibrav = 0, nat = 18, ntyp = 3
/
ATOMIC_SPECIES
Tb 158.93 Tb.upf
Pr 140.91 Pr.upf
In 114.82 In.upf
ATOMIC_POSITIONS angstrom
Tb -13.218 -2.266 -2.464
Tb -11.703 0.890 -3.282
Tb 0.000 0.000 0.000
Tb -3.774 -4.318 0.691
Tb -5.246 0.328 -1.444
Tb -6.761 -2.829 -0.626
Pr -9.222 2.850 -0.843
Pr -5.141 2.869 -3.906
Pr -8.611 4.769 -3.978
Pr -8.155 0.065 -2.076
Pr -10.309 -2.004 -1.832
Pr -9.852 -6.707 0.070
Pr -8.156 1.240 -5.082
Pr -5.775 3.827 -1.384
Pr -9.242 -4.789 -3.065
Pr -10.308 -3.178 1.174
In -6.633 -5.768 0.523
In -11.831 3.830 -4.431
CELL_PARAMETERS angstrom
-6.390 4.756 1.060
-4.526 1.941 -6.350
-7.548 -8.635 1.382
! Density ... 6.6 g/cm3
! E_tot ... -4.15 eV per atom
! ΔE_f ... 0.36 eV per atom

No. 2
! Pm8NiTe4S3 PBE relaxed; values from VASP
&SYSTEM
  ibrav = 0, nat = 16, ntyp = 4
/
ATOMIC_SPECIES
Pm 145.00 Pm.upf
Ni 58.69 Ni.upf
Te 127.60 Te.upf
S 32.06 S.upf
ATOMIC_POSITIONS angstrom
Pm -2.148 2.058 5.941
Pm 0.000 4.204 2.904
Pm 0.000 0.306 3.185
Pm 2.148 2.058 5.941
Pm 2.054 2.402 0.178
Pm 4.202 4.154 2.934
Pm 4.202 0.256 3.216
Pm 6.349 2.402 0.178
Ni 0.000 4.329 0.087
Te 4.202 0.000 0.000
Te 2.101 -2.099 2.972
Te 0.000 0.000 0.000
Te -2.101 -2.099 2.972
S 4.202 4.329 0.087
S 2.101 2.230 3.060
S -2.101 2.230 3.060
CELL_PARAMETERS angstrom
8.403 0.000 0.000
0.000 8.658 0.175
-4.202 -4.198 5.945
! Formation energy from raw total energies ... -1.515 eV per atom
! Density ... 6.9 g/cm3
! E_tot ... -5.81 eV per atom

No. 3
! Sc2BTe PBE relaxed; values from VASP
&SYSTEM
  ibrav = 0, nat = 4, ntyp = 3
/
ATOMIC_SPECIES
Sc 44.96 Sc.upf
B 10.81 B.upf
Te 127.60 Te.upf
ATOMIC_POSITIONS angstrom
Sc -2.835 -0.475 0.519
Sc -8.505 -1.425 1.558
B 0.000 0.000 0.000
Te -5.670 -0.950 1.039
CELL_PARAMETERS angstrom
-3.264 -3.315 1.053
-3.675 1.089 2.839
-4.400 0.325 -1.814
! Formation energy from raw total energies ... 0.022 eV per atom
! Density ... 4.9 g/cm3
! E_tot ... -5.60 eV per atom

No. 4
! NaMnPt PBE relaxed; values from VASP
&SYSTEM
  ibrav = 0, nat = 6, ntyp = 3
/
ATOMIC_SPECIES
Na 22.99 Na.upf
Mn 54.94 Mn.upf
Pt 195.08 Pt.upf
ATOMIC_POSITIONS angstrom
Na 10.075 2.053 -1.202
Na 3.202 2.053 2.453
Mn 6.604 2.053 0.341
Mn 3.788 2.053 -0.381
Pt 0.150 2.053 1.923
Pt 7.520 2.053 -2.434
CELL_PARAMETERS angstrom
9.113 0.000 -0.315
5.240 2.053 -2.941
-5.240 2.053 2.941
! Density ... 8.8 g/cm3
! E_tot ... -5.42 eV per atom
! ΔE_f ... 0.09 eV per atom

No. 5
! Cr2CuSb2 PBE relaxed; values from VASP
&SYSTEM
  ibrav = 0, nat = 5, ntyp = 3
/
ATOMIC_SPECIES
Sb 121.76 Sb.upf
Cu 63.55 Cu.upf
Cr 52.00 Cr.upf
ATOMIC_POSITIONS angstrom
Sb 1.669 1.669 1.856
Sb 3.338 3.338 6.271
Cu 0.000 0.000 0.000
Cr 3.338 1.669 4.063
Cr 1.669 3.338 4.063
CELL_PARAMETERS angstrom
3.338 0.000 0.000
0.000 3.338 0.000
1.669 1.669 8.126
! Formation energy from raw total energies ... 0.444 eV per atom
! Density ... 7.5 g/cm3
! E_tot ... -5.87 eV per atom

No. 6
! PS2BrCl PBE relaxed; values from VASP
&SYSTEM
  ibrav = 0, nat = 5, ntyp = 4
/
ATOMIC_SPECIES
P 30.97 P.upf
S 32.06 S.upf
Br 79.90 Br.upf
Cl 35.45 Cl.upf
ATOMIC_POSITIONS angstrom
P 0.000 0.000 0.000
S 0.000 2.330 0.000
S 2.330 0.000 0.000
Br 2.330 2.330 2.345
Cl 0.000 0.000 2.345
CELL_PARAMETERS angstrom
4.661 0.000 0.000
0.000 4.661 0.000
0.000 0.000 4.690
! Formation energy from raw total energies ... 0.523 eV per atom
! Density ... 3.4 g/cm3
! E_tot ... -2.91 eV per atom

No. 7
! TlNi2Pb PBE relaxed; values from VASP
&SYSTEM
  ibrav = 0, nat = 4, ntyp = 3
/
ATOMIC_SPECIES
Ni 58.69 Ni.upf
Pb 207.20 Pb.upf
Tl 204.38 Tl.upf
ATOMIC_POSITIONS angstrom
Ni 0.000 2.541 4.911
Ni 1.993 0.691 1.350
Pb 0.000 2.536 2.088
Tl 1.993 4.392 4.201
CELL_PARAMETERS angstrom
3.985 0.000 0.000
0.000 3.698 0.000
0.000 1.846 5.020
! Density ... 11.9 g/cm3
! E_tot ... -4.21 eV per atom
! ΔE_f ... 0.20 eV per atom

No. 8
! NaTlSn3 PBE relaxed; values from VASP
&SYSTEM
  ibrav = 0, nat = 5, ntyp = 3
/
ATOMIC_SPECIES
Na 22.99 Na.upf
Tl 204.38 Tl.upf
Sn 118.71 Sn.upf
ATOMIC_POSITIONS angstrom
Na 1.848 -3.806 2.735
Tl 0.000 0.000 0.000
Sn 0.911 -2.547 -1.068
Sn 2.364 0.138 1.688
Sn -1.428 -1.397 2.114
CELL_PARAMETERS angstrom
-2.855 -2.793 4.228
1.822 -5.095 -2.135
4.729 0.276 3.376
! Density ... 4.9 g/cm3
! E_tot ... -2.66 eV per atom
! ΔE_f ... 0.48 eV per atom

No. 9
! CsDy3Te4O12 PBE relaxed; values from VASP
&SYSTEM
  ibrav = 0, nat = 20, ntyp = 4
/
ATOMIC_SPECIES
Cs 132.91 Cs.upf
Dy 162.50 Dy.upf
Te 127.60 Te.upf
O 16.00 O.upf
ATOMIC_POSITIONS angstrom
Cs 0.000 0.000 0.000
Dy 3.510 3.078 0.058
Dy 2.141 -1.262 3.952
Dy -1.741 3.184 2.937
Te 5.674 -0.408 3.473
Te -1.763 1.577 6.231
Te 1.955 6.331 0.716
Te 1.955 2.500 3.473
O 1.955 0.835 4.672
O 5.842 3.465 0.591
O -1.931 5.540 3.473
O 1.955 -1.505 6.356
O 2.390 -0.175 2.031
O 1.347 2.797 0.478
O -0.746 1.203 2.804
O 1.521 3.019 6.468
O 4.657 2.723 4.916
O 2.563 5.434 4.143
O 3.571 2.901 2.275
O 0.339 3.764 3.473
CELL_PARAMETERS angstrom
7.392 0.042 0.058
-1.741 7.185 0.058
-1.741 -2.226 6.831
! Formation energy from raw total energies ... -1.789 eV per atom
! Density ... 6.0 g/cm3
! E_tot ... -6.13 eV per atom

No. 10
! TaPd2Se6 PBE relaxed; values from VASP
&SYSTEM
  ibrav = 0, nat = 9, ntyp = 3
/
ATOMIC_SPECIES
Ta 180.95 Ta.upf
Pd 106.42 Pd.upf
Se 78.96 Se.upf
ATOMIC_POSITIONS angstrom
Ta -2.361 8.549 -2.258
Pd -4.580 10.221 -4.463
Pd -3.390 5.972 -3.323
Se -3.104 8.142 -4.676
Se -4.446 7.326 -1.407
Se -1.067 6.337 -2.279
Se -3.695 3.684 -2.100
Se -2.465 4.508 -5.279
Se -5.723 5.430 -4.366
CELL_PARAMETERS angstrom
-1.098 2.677 -5.416
-5.447 2.621 -1.081
-0.058 7.086 0.033
! Formation energy from raw total energies ... -0.330 eV per atom
! Density ... 7.2 g/cm3
! E_tot ... -5.12 eV per atom

No. 11
! BaGd2ZnO5 PBE relaxed; values from VASP
&SYSTEM
  ibrav = 0, nat = 36, ntyp = 4
/
ATOMIC_SPECIES
Ba 137.33 Ba.upf
Gd 157.25 Gd.upf
Zn 65.41 Zn.upf
O 16.00 O.upf
ATOMIC_POSITIONS angstrom
Ba 4.364 0.555 1.271
Ba 4.364 3.061 7.562
Ba 1.455 4.172 5.021
Ba 1.455 6.677 11.312
Gd 1.455 2.881 0.937
Gd 4.364 4.466 2.615
Gd 4.364 6.382 8.907
Gd 1.455 0.850 3.676
Gd 4.364 4.352 11.646
Gd 4.364 6.497 5.354
Gd 1.455 0.736 7.228
Gd 1.455 2.766 9.967
Zn 1.455 5.845 1.883
Zn 4.364 1.388 10.700
Zn 4.364 2.228 4.408
Zn 1.455 5.004 8.174
O 1.455 3.103 7.539
O 4.364 4.130 5.044
O 4.364 6.719 11.335
O 1.455 0.513 1.248
O 0.014 6.184 3.464
O 2.923 1.048 9.119
O 5.804 2.568 2.827
O 2.895 4.664 9.756
O 5.804 1.048 9.119
O 2.895 6.184 3.464
O 0.014 4.664 9.756
O 2.923 2.568 2.827
O 2.888 4.811 0.828
O 5.797 2.421 11.755
O 2.930 1.195 5.463
O 0.021 6.037 7.120
O 5.797 1.195 5.463
O 2.888 6.037 7.120
O 0.021 4.811 0.828
O 2.930 2.421 11.755
CELL_PARAMETERS angstrom
5.818 0.000 0.000
0.000 7.233 0.000
0.000 0.000 12.583
! Formation energy from raw total energies ... -2.810 eV per atom
! Density ... 7.5 g/cm3
! E_tot ... -9.05 eV per atom

No. 12
! KTaPtW2 PBE relaxed; values from VASP
&SYSTEM
  ibrav = 0, nat = 5, ntyp = 4
/
ATOMIC_SPECIES
K 39.10 K.upf
W 183.84 W.upf
Pt 195.08 Pt.upf
Ta 180.95 Ta.upf
ATOMIC_POSITIONS angstrom
K 0.000 0.000 0.000
W 0.224 -2.217 0.127
W -1.506 -0.057 1.646
Pt -2.920 -2.526 0.267
Ta -1.638 -0.252 -1.507
CELL_PARAMETERS angstrom
-3.012 -0.114 3.293
-3.275 -0.503 -3.013
0.447 -4.434 0.255
! Density ... 14.6 g/cm3
! E_tot ... -5.76 eV per atom
! ΔE_f ... 3.21 eV per atom